Record 1
## BaZr2Pb2O7 (GGA-PBE)

Data for BaZr2Pb2O7 after structural relaxation.

Calculated values
* DOS at the Fermi energy: 0.000 states/eV per atom
* ΔE_f (raw): -29.4 eV/f.u.
* calculated total energy: -7.5480 eV/atom
* spin magnetization: 0.00 μB per atom

```
BaZr2Pb2O7
1.0
3.839 0.000 0.000
0.000 5.842 0.000
-1.920 -2.921 9.504
O Ba Pb Zr
7 1 2 2
direct
0.416 0.793 0.832
0.584 0.960 0.168
0.117 0.531 0.234
0.282 0.409 0.565
0.883 0.296 0.766
0.500 0.421 0.000
0.718 0.845 0.435
0.000 0.084 0.000
0.290 0.822 0.580
0.710 0.242 0.420
0.603 0.651 0.206
0.397 0.444 0.794
```

Record 2
## Ba2ZrPbO5 (GGA-PBE)

Data for Ba2ZrPbO5 after structural relaxation.

Calculated values
* DOS at the Fermi energy: 0.000 states/eV per atom
* ΔE_f (raw): -22.1 eV/f.u.
* calculated total energy: -7.0002 eV/atom
* spin magnetization: 0.00 μB per atom

```
Ba2ZrPbO5
1.0
3.463 0.000 0.000
-1.731 8.588 0.000
0.000 0.000 10.702
O Zr Ba Pb
10 2 4 2
direct
0.497 0.994 0.292
0.718 0.437 0.134
0.282 0.563 0.634
0.279 0.557 0.377
0.103 0.207 0.992
0.346 0.693 0.003
0.721 0.443 0.877
0.654 0.307 0.503
0.503 0.006 0.792
0.897 0.793 0.492
0.228 0.457 0.007
0.772 0.543 0.507
0.127 0.254 0.298
0.873 0.746 0.798
0.124 0.248 0.722
0.876 0.752 0.222
0.519 0.039 0.999
0.481 0.961 0.499
```